1.
A plane-wave DFT calculation with meta-GGA SCAN was carried out for a PBEsol-optimized structure of AlSi2Mo.

## Properties
space group: P4/mmm (123)
formation energy without anion corrections: 11.6 kJ per mole of atoms

a = 4.1636 Å, b = 4.1636 Å, c = 3.2233 Å
α = 90.00°, β = 90.00°, γ = 90.00°
Last column: nearest neighbours and their distance in Å.
Atoms (fractional coordinates):
Al 0.0000 0.0000 0.0000  8 Si 2.63, 4 Mo 2.94
Si 0.0000 0.5000 0.5000  4 Mo 2.63, 4 Al 2.63, 4 Si 2.94
Si 0.5000 0.0000 0.5000  4 Mo 2.63, 4 Al 2.63, 4 Si 2.94
Mo 0.5000 0.5000 0.0000  8 Si 2.63, 4 Al 2.94


2.
A plane-wave DFT calculation with meta-GGA SCAN was carried out for a PBEsol-optimized structure of AlSi2Mo.

## Properties
space group: Cm (8)
formation energy without anion corrections: 18.1 kJ per mole of atoms

a = 2.9299 Å, b = 2.9299 Å, c = 8.1076 Å
α = 100.46°, β = 100.46°, γ = 60.16°
Last column: nearest neighbours and their distance in Å.
Atoms (fractional coordinates):
Al 0.0000 0.0000 0.0000  3 Si 2.68, 3 Mo 2.69, 6 Al 2.93-2.94
Si 0.4997 0.4997 0.5001  3 Mo 2.53, 3 Si 2.53-2.54
Si 0.7539 0.7539 0.2621  3 Si 2.53-2.54, 3 Al 2.68
Mo 0.2456 0.2456 0.7369  3 Si 2.53, 3 Al 2.69


3.
A plane-wave DFT calculation with meta-GGA SCAN was carried out for a PBEsol-optimized structure of AlSiMo2.

## Properties
space group: P4mm (99)
formation energy without anion corrections: -28.9 kJ per mole of atoms

a = 3.1782 Å, b = 3.1782 Å, c = 5.6634 Å
α = 90.00°, β = 90.00°, γ = 90.00°
Last column: nearest neighbours and their distance in Å.
Atoms (fractional coordinates):
Al 0.0000 0.0000 0.0000  4 Si 2.65, 6 Mo 2.66-2.92
Si 0.5000 0.5000 0.7506  6 Mo 2.61-2.83, 4 Al 2.65
Mo 0.0000 0.0000 0.5151  4 Si 2.61, 4 Mo 2.70, 2 Al 2.75-2.92
Mo 0.5000 0.5000 0.2511  4 Al 2.66, 4 Mo 2.70, 2 Si 2.83


4.
A plane-wave DFT calculation with meta-GGA SCAN was carried out for a PBEsol-optimized structure of Al2SiMo.

## Properties
space group: F-43m (216)
formation energy without anion corrections: 19.6 kJ per mole of atoms

a = 4.3486 Å, b = 4.3486 Å, c = 4.3486 Å
α = 60.00°, β = 60.00°, γ = 60.00°
Last column: nearest neighbours and their distance in Å.
Atoms (fractional coordinates):
Al 0.0000 0.0000 0.0000  4 Si 2.66, 4 Al 2.66
Al 0.2500 0.2500 0.2500  4 Mo 2.66, 4 Al 2.66
Si 0.7500 0.7500 0.7500  4 Mo 2.66, 4 Al 2.66
Mo 0.5000 0.5000 0.5000  4 Si 2.66, 4 Al 2.66


5.
A plane-wave DFT calculation with meta-GGA SCAN was carried out for a PBEsol-optimized structure of Sm6Al43Mo4.

## Properties
ΔH_f (0 K): -18.232 eV per formula unit
space group: P6_3/mcm (193)

a = 10.9622 Å, b = 10.9622 Å, c = 17.7426 Å
α = 90.00°, β = 90.00°, γ = 120.00°
Last column: nearest neighbours and their distance in Å.
Atoms (fractional coordinates):
Sm 0.0000 0.4692 0.0950  15 Al 3.06-3.42
Sm 0.0000 0.4692 0.4050  15 Al 3.06-3.42
Sm 0.0000 0.5308 0.5950  15 Al 3.06-3.42
Sm 0.0000 0.5308 0.9050  15 Al 3.06-3.42
Sm 0.4692 0.0000 0.0950  15 Al 3.06-3.42
Sm 0.4692 0.0000 0.4050  15 Al 3.06-3.42
Sm 0.4692 0.4692 0.5950  15 Al 3.06-3.42
Sm 0.4692 0.4692 0.9050  15 Al 3.06-3.42
Sm 0.5308 0.0000 0.5950  15 Al 3.06-3.42
Sm 0.5308 0.0000 0.9050  15 Al 3.06-3.42
Sm 0.5308 0.5308 0.0950  15 Al 3.06-3.42
Sm 0.5308 0.5308 0.4050  15 Al 3.06-3.42
Al 0.0000 0.1472 0.7500  2 Mo 2.56, 6 Al 2.80-2.81
Al 0.0000 0.1589 0.1149  2 Mo 2.68, 7 Al 2.72-2.93
Al 0.0000 0.1589 0.3851  2 Mo 2.68, 7 Al 2.72-2.93
Al 0.0000 0.2523 0.5304  9 Al 2.73-2.97, 1 Mo 2.82
Al 0.0000 0.2523 0.9696  9 Al 2.73-2.97, 1 Mo 2.82
Al 0.0000 0.7477 0.0304  9 Al 2.73-2.97, 1 Mo 2.82
Al 0.0000 0.7477 0.4696  9 Al 2.73-2.97, 1 Mo 2.82
Al 0.0000 0.8411 0.6149  2 Mo 2.68, 7 Al 2.72-2.93
Al 0.0000 0.8411 0.8851  2 Mo 2.68, 7 Al 2.72-2.93
Al 0.0000 0.8528 0.2500  2 Mo 2.56, 6 Al 2.80-2.81
Al 0.1472 0.0000 0.7500  2 Mo 2.56, 6 Al 2.80-2.81
Al 0.1472 0.1472 0.2500  2 Mo 2.56, 6 Al 2.80-2.81
Al 0.1475 0.5506 0.2500  1 Mo 2.67, 7 Al 2.75-2.83
Al 0.1475 0.5969 0.7500  1 Mo 2.67, 7 Al 2.75-2.83
Al 0.1576 0.3932 0.6646  1 Mo 2.70, 7 Al 2.72-2.99
Al 0.1576 0.3932 0.8354  1 Mo 2.70, 7 Al 2.72-2.99
Al 0.1576 0.7644 0.1646  1 Mo 2.70, 7 Al 2.72-2.99
Al 0.1576 0.7644 0.3354  1 Mo 2.70, 7 Al 2.72-2.99
Al 0.1589 0.0000 0.1149  2 Mo 2.68, 7 Al 2.72-2.93
Al 0.1589 0.0000 0.3851  2 Mo 2.68, 7 Al 2.72-2.93
Al 0.1589 0.1589 0.6149  2 Mo 2.68, 7 Al 2.72-2.93
Al 0.1589 0.1589 0.8851  2 Mo 2.68, 7 Al 2.72-2.93
Al 0.2356 0.3932 0.1646  1 Mo 2.70, 7 Al 2.72-2.99
Al 0.2356 0.3932 0.3354  1 Mo 2.70, 7 Al 2.72-2.99
Al 0.2356 0.8424 0.6646  1 Mo 2.70, 7 Al 2.72-2.99
Al 0.2356 0.8424 0.8354  1 Mo 2.70, 7 Al 2.72-2.99
Al 0.2470 0.4941 0.0000  6 Al 2.73-2.84
Al 0.2470 0.4941 0.5000  6 Al 2.73-2.84
Al 0.2470 0.7530 0.0000  6 Al 2.73-2.84
Al 0.2470 0.7530 0.5000  6 Al 2.73-2.84
Al 0.2523 0.0000 0.5304  9 Al 2.73-2.97, 1 Mo 2.82
Al 0.2523 0.0000 0.9696  9 Al 2.73-2.97, 1 Mo 2.82
Al 0.2523 0.2523 0.0304  9 Al 2.73-2.97, 1 Mo 2.82
Al 0.2523 0.2523 0.4696  9 Al 2.73-2.97, 1 Mo 2.82
Al 0.3333 0.6667 0.1262  9 Al 2.72-2.83
Al 0.3333 0.6667 0.3738  9 Al 2.72-2.83
Al 0.3333 0.6667 0.6262  9 Al 2.72-2.83
Al 0.3333 0.6667 0.8738  9 Al 2.72-2.83
Al 0.3932 0.1576 0.6646  1 Mo 2.70, 7 Al 2.72-2.99
Al 0.3932 0.1576 0.8354  1 Mo 2.70, 7 Al 2.72-2.99
Al 0.3932 0.2356 0.1646  1 Mo 2.70, 7 Al 2.72-2.99
Al 0.3932 0.2356 0.3354  1 Mo 2.70, 7 Al 2.72-2.99
Al 0.4031 0.5506 0.7500  1 Mo 2.67, 7 Al 2.75-2.83
Al 0.4031 0.8525 0.2500  1 Mo 2.67, 7 Al 2.75-2.83
Al 0.4494 0.5969 0.2500  1 Mo 2.67, 7 Al 2.75-2.83
Al 0.4494 0.8525 0.7500  1 Mo 2.67, 7 Al 2.75-2.83
Al 0.4941 0.2470 0.0000  6 Al 2.73-2.84
Al 0.4941 0.2470 0.5000  6 Al 2.73-2.84
Al 0.5059 0.7530 0.0000  6 Al 2.73-2.84
Al 0.5059 0.7530 0.5000  6 Al 2.73-2.84
Al 0.5506 0.1475 0.2500  1 Mo 2.67, 7 Al 2.75-2.83
Al 0.5506 0.4031 0.7500  1 Mo 2.67, 7 Al 2.75-2.83
Al 0.5969 0.1475 0.7500  1 Mo 2.67, 7 Al 2.75-2.83
Al 0.5969 0.4494 0.2500  1 Mo 2.67, 7 Al 2.75-2.83
Al 0.6068 0.7644 0.6646  1 Mo 2.70, 7 Al 2.72-2.99
Al 0.6068 0.7644 0.8354  1 Mo 2.70, 7 Al 2.72-2.99
Al 0.6068 0.8424 0.1646  1 Mo 2.70, 7 Al 2.72-2.99
Al 0.6068 0.8424 0.3354  1 Mo 2.70, 7 Al 2.72-2.99
Al 0.6667 0.3333 0.1262  9 Al 2.72-2.83
Al 0.6667 0.3333 0.3738  9 Al 2.72-2.83
Al 0.6667 0.3333 0.6262  9 Al 2.72-2.83
Al 0.6667 0.3333 0.8738  9 Al 2.72-2.83
Al 0.7477 0.0000 0.0304  9 Al 2.73-2.97, 1 Mo 2.82
Al 0.7477 0.0000 0.4696  9 Al 2.73-2.97, 1 Mo 2.82
Al 0.7477 0.7477 0.5304  9 Al 2.73-2.97, 1 Mo 2.82
Al 0.7477 0.7477 0.9696  9 Al 2.73-2.97, 1 Mo 2.82
Al 0.7530 0.2470 0.0000  6 Al 2.73-2.84
Al 0.7530 0.2470 0.5000  6 Al 2.73-2.84
Al 0.7530 0.5059 0.0000  6 Al 2.73-2.84
Al 0.7530 0.5059 0.5000  6 Al 2.73-2.84
Al 0.7644 0.1576 0.1646  1 Mo 2.70, 7 Al 2.72-2.99
Al 0.7644 0.1576 0.3354  1 Mo 2.70, 7 Al 2.72-2.99
Al 0.7644 0.6068 0.6646  1 Mo 2.70, 7 Al 2.72-2.99
Al 0.7644 0.6068 0.8354  1 Mo 2.70, 7 Al 2.72-2.99
Al 0.8411 0.0000 0.6149  2 Mo 2.68, 7 Al 2.72-2.93
Al 0.8411 0.0000 0.8851  2 Mo 2.68, 7 Al 2.72-2.93
Al 0.8411 0.8411 0.1149  2 Mo 2.68, 7 Al 2.72-2.93
Al 0.8411 0.8411 0.3851  2 Mo 2.68, 7 Al 2.72-2.93
Al 0.8424 0.2356 0.6646  1 Mo 2.70, 7 Al 2.72-2.99
Al 0.8424 0.2356 0.8354  1 Mo 2.70, 7 Al 2.72-2.99
Al 0.8424 0.6068 0.1646  1 Mo 2.70, 7 Al 2.72-2.99
Al 0.8424 0.6068 0.3354  1 Mo 2.70, 7 Al 2.72-2.99
Al 0.8528 0.0000 0.2500  2 Mo 2.56, 6 Al 2.80-2.81
Al 0.8525 0.4031 0.2500  1 Mo 2.67, 7 Al 2.75-2.83
Al 0.8525 0.4494 0.7500  1 Mo 2.67, 7 Al 2.75-2.83
Al 0.8528 0.8528 0.7500  2 Mo 2.56, 6 Al 2.80-2.81
Mo 0.0000 0.0000 0.0000  12 Al 2.68-2.82
Mo 0.0000 0.0000 0.5000  12 Al 2.68-2.82
Mo 0.0000 0.2690 0.2500  10 Al 2.56-2.70
Mo 0.0000 0.7310 0.7500  10 Al 2.56-2.70
Mo 0.2690 0.0000 0.2500  10 Al 2.56-2.70
Mo 0.2690 0.2690 0.7500  10 Al 2.56-2.70
Mo 0.7310 0.0000 0.7500  10 Al 2.56-2.70
Mo 0.7310 0.7310 0.2500  10 Al 2.56-2.70


6.
A plane-wave DFT calculation with meta-GGA SCAN was carried out for a PBEsol-optimized structure of SrAl2Mo.

## Properties
ΔH_f (0 K): 1.398 eV per formula unit
space group: P4mm (99)

a = 3.4056 Å, b = 3.4056 Å, c = 7.4387 Å
α = 90.00°, β = 90.00°, γ = 90.00°
Last column: nearest neighbours and their distance in Å.
Atoms (fractional coordinates):
Sr 0.0000 0.0000 0.0000  5 Al 3.32-3.48, 4 Mo 3.35, 4 Sr 3.41
Al 0.0000 0.0000 0.5535  4 Mo 2.60, 4 Al 2.89
Al 0.5000 0.5000 0.3377  1 Mo 2.59, 4 Al 2.89
Mo 0.5000 0.5000 0.6864  5 Al 2.59-2.60


7.
A plane-wave DFT calculation with meta-GGA SCAN was carried out for a PBEsol-optimized structure of SrAl2Mo.

## Properties
ΔH_f (0 K): 1.783 eV per formula unit
space group: I4/mmm (139)

a = 5.0828 Å, b = 5.0828 Å, c = 5.0828 Å
α = 128.97°, β = 128.97°, γ = 75.06°
Last column: nearest neighbours and their distance in Å.
Atoms (fractional coordinates):
Sr 0.0000 0.0000 0.0000  8 Al 2.98, 4 Mo 3.10
Al 0.2500 0.7500 0.5000  4 Mo 2.98, 4 Sr 2.98, 4 Al 3.10
Al 0.7500 0.2500 0.5000  4 Mo 2.98, 4 Sr 2.98, 4 Al 3.10
Mo 0.5000 0.5000 0.0000  8 Al 2.98, 4 Sr 3.10


8.
A plane-wave DFT calculation with meta-GGA SCAN was carried out for a PBEsol-optimized structure of SrAlMo2.

## Properties
ΔH_f (0 K): 1.017 eV per formula unit
space group: P4mm (99)

a = 3.2546 Å, b = 3.2546 Å, c = 7.5851 Å
α = 90.00°, β = 90.00°, γ = 90.00°
Last column: nearest neighbours and their distance in Å.
Atoms (fractional coordinates):
Sr 0.0000 0.0000 0.0000  4 Sr 3.25, 5 Mo 3.31-3.63, 4 Al 3.37
Al 0.5000 0.5000 0.3244  5 Mo 2.74-2.75
Mo 0.0000 0.0000 0.5221  4 Mo 2.62, 4 Al 2.75
Mo 0.5000 0.5000 0.6862  4 Mo 2.62, 1 Al 2.74


9.
A plane-wave DFT calculation with meta-GGA SCAN was carried out for a PBEsol-optimized structure of SrAlMo2.

## Properties
ΔH_f (0 K): 2.891 eV per formula unit
space group: F-43m (216)

a = 4.7234 Å, b = 4.7234 Å, c = 4.7234 Å
α = 60.00°, β = 60.00°, γ = 60.00°
Last column: nearest neighbours and their distance in Å.
Atoms (fractional coordinates):
Sr 0.0000 0.0000 0.0000  4 Mo 2.89, 4 Al 2.89
Al 0.2500 0.2500 0.2500  4 Mo 2.89, 4 Sr 2.89
Mo 0.5000 0.5000 0.5000  4 Mo 2.89, 4 Al 2.89
Mo 0.7500 0.7500 0.7500  4 Mo 2.89, 4 Sr 2.89


10.
A plane-wave DFT calculation with meta-GGA SCAN was carried out for a PBEsol-optimized structure of SrAl2Mo.

## Properties
ΔH_f (0 K): 1.800 eV per formula unit
space group: Imm2 (44)

a = 6.0521 Å, b = 6.0521 Å, c = 6.0521 Å
α = 152.50°, β = 128.96°, γ = 58.95°
Last column: nearest neighbours and their distance in Å.
Atoms (fractional coordinates):
Sr 0.0000 0.0000 0.0000  2 Sr 2.88, 4 Al 2.98
Al 0.2819 0.7819 0.5000  4 Al 2.83-2.88, 4 Mo 3.05
Al 0.5134 0.5134 0.0000  2 Mo 2.62, 4 Al 2.83-2.88
Mo 0.7210 0.2210 0.5000  2 Al 2.62, 2 Mo 2.88


11.
A plane-wave DFT calculation with meta-GGA SCAN was carried out for a PBEsol-optimized structure of SrAl2Mo.

## Properties
ΔH_f (0 K): 2.618 eV per formula unit
space group: I-4m2 (119)

a = 5.4858 Å, b = 5.4858 Å, c = 5.4858 Å
α = 135.37°, β = 135.37°, γ = 64.96°
Last column: nearest neighbours and their distance in Å.
Atoms (fractional coordinates):
Sr 0.0000 0.0000 0.0000  8 Al 2.95-3.11, 4 Mo 3.11
Al 0.5000 0.5000 0.0000  4 Sr 2.95, 4 Mo 3.11, 4 Al 3.11
Al 0.7500 0.2500 0.5000  4 Mo 2.95, 4 Al 3.11, 4 Sr 3.11
Mo 0.2500 0.7500 0.5000  8 Al 2.95-3.11, 4 Sr 3.11


12.
A plane-wave DFT calculation with meta-GGA SCAN was carried out for a PBEsol-optimized structure of TaAl2Mo.

## Properties
ΔH_f (0 K): -0.287 eV per formula unit
space group: Cmm2 (35)

a = 2.7682 Å, b = 2.7682 Å, c = 8.7567 Å
α = 90.00°, β = 90.00°, γ = 107.66°
Last column: nearest neighbours and their distance in Å.
Atoms (fractional coordinates):
Ta 0.0000 0.0000 0.0000  2 Al 2.75, 4 Ta 2.77, 2 Mo 2.77
Al 0.0000 0.0000 0.4920  2 Mo 2.63, 6 Al 2.77
Al 0.5000 0.5000 0.7477  2 Ta 2.75, 6 Al 2.77
Mo 0.5000 0.5000 0.2561  2 Al 2.63, 4 Mo 2.77, 2 Ta 2.77


Number 1: spin magnetization 0.001 μB/cell. Number 2: spin magnetization 0.106 μB/cell. Number 3: spin magnetization 0.000 μB/cell. Number 4: spin magnetization 0.001 μB/cell. Number 5: spin magnetization 0.000 μB/cell. Number 6: spin magnetization 0.001 μB/cell. Number 7: spin magnetization 0.000 μB/cell. Number 8: spin magnetization 0.000 μB/cell. Number 9: spin magnetization 1.024 μB/cell. Number 10: spin magnetization 0.000 μB/cell. Number 11: spin magnetization 0.001 μB/cell. Number 12: spin magnetization 0.000 μB/cell.